Below is DySnIr4 after structural relaxation, with properties calculated at the PBE level.

Structure (CIF):
```
data_DySnIr4
_symmetry_space_group_name_H-M 'F -4 3 m'
_symmetry_Int_Tables_number 216
_symmetry_space_group_name_Hall 'F -4 2 3'
_cell_length_a 7.547
_cell_length_b 7.547
_cell_length_c 7.547
_cell_angle_alpha 90.00
_cell_angle_beta 90.00
_cell_angle_gamma 90.00
loop_
_atom_site_label
_atom_site_type_symbol
_atom_site_fract_x
_atom_site_fract_y
_atom_site_fract_z
_atom_site_occupancy
Dy1 Dy 0.000 0.000 0.000 1
Sn1 Sn 0.250 0.250 0.750 1
Ir1 Ir 0.125 0.125 0.375 1
```


Below is AcB6Ru12 after structural relaxation, with properties calculated at the PBE level.

Structure (CIF):
```
data_AcB6Ru12
_symmetry_space_group_name_H-M 'R -3 m'
_symmetry_Int_Tables_number 166
_symmetry_space_group_name_Hall '-R 3 2"'
_cell_length_a 10.1707
_cell_length_b 10.1707
_cell_length_c 8.2094
_cell_angle_alpha 90.00
_cell_angle_beta 90.00
_cell_angle_gamma 120.00
loop_
_atom_site_label
_atom_site_type_symbol
_atom_site_fract_x
_atom_site_fract_y
_atom_site_fract_z
_atom_site_occupancy
Ac1 Ac 0.0000 0.0000 0.0000 1
B1 B 0.0347 0.5174 0.2815 1
Ru1 Ru 0.0000 0.3673 0.5000 1
Ru2 Ru 0.0904 0.1808 0.3658 1
```


# NbTc2Mo (PBE, relaxed)
data_NbTc2Mo
_symmetry_space_group_name_H-M 'F m -3 m'
_symmetry_Int_Tables_number 225
_symmetry_space_group_name_Hall '-F 4 2 3'
_cell_length_a 6.317
_cell_length_b 6.317
_cell_length_c 6.317
_cell_angle_alpha 90.00
_cell_angle_beta 90.00
_cell_angle_gamma 90.00
loop_
_atom_site_label
_atom_site_type_symbol
_atom_site_fract_x
_atom_site_fract_y
_atom_site_fract_z
_atom_site_occupancy
Nb1 Nb 0.000 0.000 0.000 1
Tc1 Tc 0.250 0.250 0.250 1
Mo1 Mo 0.000 0.000 0.500 1
# ΔE to the lowest computed polymorph = 6 meV per atom


# Sc3BiB (PBE, relaxed)
data_Sc3BiB
_symmetry_space_group_name_H-M 'C 1 2/m 1'
_symmetry_Int_Tables_number 12
_cell_length_a 7.129
_cell_length_b 9.436
_cell_length_c 6.532
_cell_angle_alpha 90.00
_cell_angle_beta 100.73
_cell_angle_gamma 90.00
loop_
_symmetry_equiv_pos_as_xyz
'x,y,z'
'-x,-y,-z'
'-x,y,-z'
'x,-y,z'
'x+1/2,y+1/2,z'
'-x+1/2,-y+1/2,-z'
'-x+1/2,y+1/2,-z'
'x+1/2,-y+1/2,z'
loop_
_atom_site_label
_atom_site_type_symbol
_atom_site_fract_x
_atom_site_fract_y
_atom_site_fract_z
_atom_site_occupancy
Sc1 Sc 0.040 0.231 0.241 1
Sc2 Sc 0.232 0.500 0.979 1
Bi1 Bi 0.240 0.500 0.461 1
B1 B 0.250 0.250 0.000 1
# ΔE to the lowest computed polymorph = 156 meV per atom


Below is KGa2TcHg after structural relaxation, with properties calculated at the PBE level.

Structure (CIF):
```
data_KGa2TcHg
_symmetry_space_group_name_H-M 'P 4/m m m'
_symmetry_Int_Tables_number 123
_symmetry_space_group_name_Hall '-P 4 2'
_cell_length_a 4.888
_cell_length_b 4.888
_cell_length_c 5.404
_cell_angle_alpha 90.00
_cell_angle_beta 90.00
_cell_angle_gamma 90.00
loop_
_atom_site_label
_atom_site_type_symbol
_atom_site_fract_x
_atom_site_fract_y
_atom_site_fract_z
_atom_site_occupancy
K1 K 0.000 0.000 0.000 1
Ga1 Ga 0.000 0.500 0.500 1
Tc1 Tc 0.500 0.500 0.500 1
Hg1 Hg 0.500 0.500 0.000 1
```


Below is HoMg11Pd after structural relaxation, with properties calculated at the PBE level.

Structure (CIF):
```
data_HoMg11Pd
_symmetry_space_group_name_H-M 'C 1 2/m 1'
_symmetry_Int_Tables_number 12
_cell_length_a 5.626
_cell_length_b 14.409
_cell_length_c 7.642
_cell_angle_alpha 90.00
_cell_angle_beta 110.39
_cell_angle_gamma 90.00
loop_
_symmetry_equiv_pos_as_xyz
'x,y,z'
'-x,-y,-z'
'-x,y,-z'
'x,-y,z'
'x+1/2,y+1/2,z'
'-x+1/2,-y+1/2,-z'
'-x+1/2,y+1/2,-z'
'x+1/2,-y+1/2,z'
loop_
_atom_site_label
_atom_site_type_symbol
_atom_site_fract_x
_atom_site_fract_y
_atom_site_fract_z
_atom_site_occupancy
Ho1 Ho 0.000 0.000 0.000 1
Mg1 Mg 0.000 0.000 0.500 1
Mg2 Mg 0.096 0.398 0.217 1
Mg3 Mg 0.188 0.169 0.360 1
Mg4 Mg 0.250 0.250 0.000 1
Pd1 Pd 0.000 0.500 0.500 1
```


Number 1: magnetization 0.000 μB per formula unit, E_form -346 meV/atom. Number 2: magnetization 0.000 μB per formula unit, E_form -236 meV/atom. Number 3: magnetization 0.000 μB per formula unit, E_form -115 meV/atom. Number 4: magnetization 0.000 μB per formula unit, E_form -410 meV/atom. Number 5: magnetization 0.000 μB per formula unit, E_form -5 meV/atom. Number 6: magnetization 0.000 μB per formula unit, E_form -136 meV/atom.